No. 1
First-principles (PBE) data for a relaxed structure of Er2AgN, as listed in Alexandria.

a b c (Å): 7.8362 7.8362 7.8362
angles (deg): 25.38 25.38 25.38
Fractional positions:
Er 0.2262 0.2262 0.2262
Er 0.7738 0.7738 0.7738
Ag 0.0000 0.0000 0.0000
N 0.5000 0.5000 0.5000

Properties
The value obtained for the raw formation energy is -20.32 kcal/mol of atoms. As for the space group: No. 166.

No. 2
First-principles (PBE) data for a relaxed structure of Y2ErAgN, as listed in Alexandria.

a b c (Å): 4.8400 4.8400 4.6810
angles (deg): 90.00 90.00 90.00
Fractional positions:
Y 0.0000 0.5000 0.0000
Y 0.5000 0.0000 0.0000
Er 0.0000 0.0000 0.5000
Ag 0.5000 0.5000 0.5000
N 0.0000 0.0000 0.0000

Properties
The value obtained for the raw formation energy is -17.46 kcal/mol of atoms. As for the space group: No. 123.

No. 3
First-principles (PBE) data for a relaxed structure of NaEr2Ag, as listed in Alexandria.

a b c (Å): 3.5291 3.5291 9.3735
angles (deg): 90.00 90.00 90.00
Fractional positions:
Na 0.0000 0.0000 0.0000
Er 0.5000 0.5000 0.3093
Er 0.5000 0.5000 0.6907
Ag 0.0000 0.0000 0.5000

Properties
As for the space group: No. 123. Its uncorrected energy is -3.294 eV per atom.

No. 4
First-principles (PBE) data for a relaxed structure of Na2ErAg, as listed in Alexandria.

a b c (Å): 11.7961 11.7961 11.7961
angles (deg): 16.04 16.04 16.04
Fractional positions:
Na 0.0961 0.0961 0.0961
Na 0.9039 0.9039 0.9039
Er 0.0000 0.0000 0.0000
Ag 0.5000 0.5000 0.5000

Properties
As for the space group: No. 166. Its uncorrected energy is -2.282 eV per atom.

No. 5
First-principles (PBE) data for a relaxed structure of NaEr2Ag, as listed in Alexandria.

a b c (Å): 11.8248 11.8248 11.8248
angles (deg): 16.57 16.57 16.57
Fractional positions:
Na 0.0000 0.0000 0.0000
Er 0.0989 0.0989 0.0989
Er 0.9011 0.9011 0.9011
Ag 0.5000 0.5000 0.5000

Properties
As for the space group: No. 166. Its uncorrected energy is -3.156 eV per atom.

No. 6
First-principles (PBE) data for a relaxed structure of NaEr4Ag5, as listed in Alexandria.

a b c (Å): 3.5647 3.5647 18.4793
angles (deg): 90.00 90.00 90.00
Fractional positions:
Na 0.0000 0.0000 0.0000
Er 0.0000 0.0000 0.2011
Er 0.0000 0.0000 0.4006
Er 0.0000 0.0000 0.5994
Er 0.0000 0.0000 0.7989
Ag 0.5000 0.5000 0.1075
Ag 0.5000 0.5000 0.3014
Ag 0.5000 0.5000 0.5000
Ag 0.5000 0.5000 0.6986
Ag 0.5000 0.5000 0.8925

Properties
As for the space group: No. 123. Its uncorrected energy is -3.639 eV per atom.

No. 7
First-principles (PBE) data for a relaxed structure of NaErAg, as listed in Alexandria.

a b c (Å): 4.1834 4.1834 9.5613
angles (deg): 102.25 102.25 88.29
Fractional positions:
Na 0.2471 0.2471 0.4906
Na 0.7529 0.7529 0.5094
Er 0.3067 0.3067 0.1199
Er 0.6933 0.6933 0.8801
Ag 0.1541 0.1541 0.7914
Ag 0.8459 0.8459 0.2086

Properties
As for the space group: No. 12. Its uncorrected energy is -2.916 eV per atom.

No. 8
First-principles (PBE) data for a relaxed structure of NaErAg4, as listed in Alexandria.

a b c (Å): 5.6467 5.6467 5.6467
angles (deg): 60.00 60.00 60.00
Fractional positions:
Na 0.0000 0.0000 0.0000
Er 0.2500 0.2500 0.2500
Ag 0.1245 0.6252 0.6252
Ag 0.6252 0.1245 0.6252
Ag 0.6252 0.6252 0.1245
Ag 0.6252 0.6252 0.6252

Properties
As for the space group: No. 216. Its uncorrected energy is -2.958 eV per atom.